VASP calculation (PBE) on a relaxed BaRu crystal.

Geometry as extended XYZ:
```
4
Lattice="3.5789 0.0017 0.0000 -0.5744 3.5325 0.0000 0.0000 0.0000 9.7039" Properties=species:S:1:pos:R:3 pbc="T T T"
Ru 1.5022 1.7671 3.2624
Ru 0.0000 0.0000 4.0155
Ba 0.0000 0.0000 0.8858
Ba 1.5022 1.7671 6.3921
```

Results
Energy of formation from the pure elements = 0.508 eV per atom



VASP calculation (PBE) on a relaxed Ba7Ru crystal.

Geometry as extended XYZ:
```
8
Lattice="0.0000 5.8550 5.8550 5.8550 0.0000 5.8550 5.8550 5.8550 0.0000" Properties=species:S:1:pos:R:3 pbc="T T T"
Ba 0.0000 2.9275 2.9275
Ba 5.8550 5.8550 5.8550
Ba 2.9275 5.8550 2.9275
Ba 2.9275 0.0000 2.9275
Ba 2.9275 2.9275 5.8550
Ba 5.8550 2.9275 2.9275
Ba 2.9275 2.9275 0.0000
Ru 0.0000 0.0000 0.0000
```

Results
Energy of formation from the pure elements = 0.463 eV per atom



VASP calculation (PBE) on a relaxed BaRu crystal.

Geometry as extended XYZ:
```
16
Lattice="8.7360 0.0000 0.0000 0.0000 8.7360 0.0000 0.0000 0.0000 8.7360" Properties=species:S:1:pos:R:3 pbc="T T T"
Ba 1.9163 1.9163 6.8196
Ba 6.2843 2.4517 6.2843
Ba 6.8196 1.9163 1.9163
Ba 6.2843 6.2843 2.4517
Ba 2.4517 2.4517 2.4517
Ba 2.4517 6.2843 6.2843
Ba 6.8196 6.8196 6.8196
Ba 1.9163 6.8196 1.9163
Ru 0.9305 7.8054 7.8054
Ru 0.9305 0.9305 0.9305
Ru 3.4375 5.2985 3.4375
Ru 7.8054 7.8054 0.9305
Ru 5.2985 5.2985 5.2985
Ru 7.8054 0.9305 7.8054
Ru 5.2985 3.4375 3.4375
Ru 3.4375 3.4375 5.2985
```

Results
Energy of formation from the pure elements = 0.959 eV per atom



VASP calculation (PBE) on a relaxed BaRu crystal.

Geometry as extended XYZ:
```
4
Lattice="-2.6354 1.8892 -1.2114 0.5550 -3.1869 -1.2318 -6.0753 -3.8474 7.2168" Properties=species:S:1:pos:R:3 pbc="T T T"
Ba -0.8027 -1.6812 -0.8756
Ba -4.9037 -1.9128 2.7396
Ru -2.4683 -2.7360 1.1030
Ru -6.5694 -2.9677 4.7182
```

Results
Energy of formation from the pure elements = 1.357 eV per atom



VASP calculation (PBE) on a relaxed BaRu crystal.

Geometry as extended XYZ:
```
6
Lattice="-5.3144 -3.5038 0.0488 -3.3603 -4.2601 -3.3289 3.2409 -6.5588 3.3434" Properties=species:S:1:pos:R:3 pbc="T T T"
Ru 2.6305 -6.8426 3.0538
Ru -5.2410 -5.6548 -1.7659
Ru -0.1646 -2.7659 0.5241
Ba -2.3906 -5.0407 -0.2544
Ba -3.3322 -8.8553 0.0549
Ba -0.0344 -8.4320 1.8679
```

Results
Energy of formation from the pure elements = 0.467 eV per atom



VASP calculation (PBE) on a relaxed Ba2Ru crystal.

Geometry as extended XYZ:
```
6
Lattice="-3.8605 3.8605 3.4929 3.8605 -3.8605 3.4929 3.8605 3.8605 -3.4929" Properties=species:S:1:pos:R:3 pbc="T T T"
Ba 2.4139 -1.4466 3.4929
Ba 2.4139 1.4466 0.0000
Ba 1.4466 2.4139 3.4929
Ba 1.4466 5.3071 0.0000
Ru 0.0000 0.0000 5.2393
Ru 0.0000 0.0000 1.7464
```

Results
Energy of formation from the pure elements = 0.506 eV per atom